No. 1
{"formula": "B2PN", "functional": "PBE", "state": "optimized geometry", "formation_energy_uncorrected_mev_per_atom": -408, "dos_ef_per_ev_cell": 0.0, "e_above_lowest_polymorph_ev_per_atom": 0.000, "density_g_cm3": 3.2, "energy_ev_per_cell": -57.4, "space_group": "I-42d (122)", "lattice_angstrom": [[-2.0636, 2.0636, 4.0626], [2.0636, -2.0636, 4.0626], [2.0636, 2.0636, -4.0626]], "species": ["B", "B", "B", "B", "P", "P", "N", "N"], "fractional_positions": [[0.0636, 0.6250, 0.9386], [0.3750, 0.3136, 0.4386], [0.6864, 0.1250, 0.0614], [0.8750, 0.9364, 0.5614], [0.2500, 0.7500, 0.5000], [0.5000, 0.5000, 0.0000], [0.0000, 0.0000, 0.0000], [0.7500, 0.2500, 0.5000]]}

No. 2
{"formula": "PmBP2N6", "functional": "PBE", "state": "optimized geometry", "formation_energy_uncorrected_mev_per_atom": -469, "dos_ef_per_ev_cell": 8.3, "density_g_cm3": 4.3, "energy_ev_per_cell": -153.8, "space_group": "C2/c (15)", "lattice_angstrom": [[5.0061, -4.6984, 0.0000], [5.0061, 4.6984, 0.0000], [-2.5358, 0.0000, 4.9744]], "species": ["Pm", "Pm", "B", "B", "P", "P", "P", "P", "N", "N", "N", "N", "N", "N", "N", "N", "N", "N", "N", "N"], "fractional_positions": [[0.1459, 0.8541, 0.7500], [0.8541, 0.1459, 0.2500], [0.2221, 0.7779, 0.2500], [0.7779, 0.2221, 0.7500], [0.2124, 0.3724, 0.8537], [0.3724, 0.2124, 0.3537], [0.6276, 0.7876, 0.6463], [0.7876, 0.6276, 0.1463], [0.0024, 0.7663, 0.2744], [0.2135, 0.6165, 0.9877], [0.2337, 0.9976, 0.2256], [0.2562, 0.3518, 0.5691], [0.3518, 0.2562, 0.0691], [0.3835, 0.7865, 0.5123], [0.6165, 0.2135, 0.4877], [0.6482, 0.7438, 0.9309], [0.7438, 0.6482, 0.4309], [0.7663, 0.0024, 0.7744], [0.7865, 0.3835, 0.0123], [0.9976, 0.2337, 0.7256]]}

No. 3
{"formula": "PrBP2N6", "functional": "PBE", "state": "optimized geometry", "formation_energy_uncorrected_mev_per_atom": -447, "dos_ef_per_ev_cell": 7.8, "density_g_cm3": 4.1, "energy_ev_per_cell": -153.4, "space_group": "C2/c (15)", "lattice_angstrom": [[5.0277, -4.7480, 0.0000], [5.0277, 4.7480, 0.0000], [-2.5500, 0.0000, 5.0008]], "species": ["Pr", "Pr", "B", "B", "P", "P", "P", "P", "N", "N", "N", "N", "N", "N", "N", "N", "N", "N", "N", "N"], "fractional_positions": [[0.1463, 0.8537, 0.7500], [0.8537, 0.1463, 0.2500], [0.2253, 0.7747, 0.2500], [0.7747, 0.2253, 0.7500], [0.2113, 0.3714, 0.8576], [0.3714, 0.2113, 0.3576], [0.6286, 0.7887, 0.6424], [0.7887, 0.6286, 0.1424], [0.0058, 0.7608, 0.2689], [0.2181, 0.6143, 0.9898], [0.2392, 0.9942, 0.2311], [0.2557, 0.3459, 0.5733], [0.3459, 0.2557, 0.0733], [0.3857, 0.7819, 0.5102], [0.6143, 0.2181, 0.4898], [0.6541, 0.7443, 0.9267], [0.7443, 0.6541, 0.4267], [0.7608, 0.0058, 0.7689], [0.7819, 0.3857, 0.0102], [0.9942, 0.2392, 0.7311]]}

No. 4
{"formula": "PuBP2N6", "functional": "PBE", "state": "optimized geometry", "formation_energy_uncorrected_mev_per_atom": -535, "dos_ef_per_ev_cell": 10.0, "density_g_cm3": 6.3, "energy_ev_per_cell": -174.3, "space_group": "C2/c (15)", "lattice_angstrom": [[4.9725, -4.3407, 0.0000], [4.9725, 4.3407, 0.0000], [-2.5871, 0.0000, 4.9173]], "species": ["Pu", "Pu", "B", "B", "P", "P", "P", "P", "N", "N", "N", "N", "N", "N", "N", "N", "N", "N", "N", "N"], "fractional_positions": [[0.1526, 0.8474, 0.7500], [0.8474, 0.1526, 0.2500], [0.2001, 0.7999, 0.2500], [0.7999, 0.2001, 0.7500], [0.2227, 0.3715, 0.8406], [0.3715, 0.2227, 0.3406], [0.6285, 0.7773, 0.6594], [0.7773, 0.6285, 0.1594], [0.0167, 0.2031, 0.6941], [0.1827, 0.6234, 0.9838], [0.2031, 0.0167, 0.1941], [0.2620, 0.3892, 0.5657], [0.3766, 0.8173, 0.5162], [0.3892, 0.2620, 0.0657], [0.6108, 0.7380, 0.9343], [0.6234, 0.1827, 0.4838], [0.7380, 0.6108, 0.4343], [0.7969, 0.9833, 0.8059], [0.8173, 0.3766, 0.0162], [0.9833, 0.7969, 0.3059]]}

No. 5
{"formula": "BP2RuN", "functional": "PBE", "state": "optimized geometry", "formation_energy_uncorrected_mev_per_atom": 587, "dos_ef_per_ev_cell": 3.2, "density_g_cm3": 5.3, "energy_ev_per_cell": -32.2, "space_group": "P4/mmm (123)", "lattice_angstrom": [[4.6407, 0.0000, 0.0000], [0.0000, 4.6407, 0.0000], [0.0000, 0.0000, 2.7123]], "species": ["B", "P", "P", "Ru", "N"], "fractional_positions": [[0.0000, 0.0000, 0.0000], [0.0000, 0.5000, 0.0000], [0.5000, 0.0000, 0.0000], [0.5000, 0.5000, 0.5000], [0.0000, 0.0000, 0.5000]]}

No. 6
{"formula": "BPSN2", "functional": "PBE", "state": "optimized geometry", "formation_energy_uncorrected_mev_per_atom": 1157, "dos_ef_per_ev_cell": 2.7, "e_above_lowest_polymorph_ev_per_atom": 0.065, "density_g_cm3": 2.5, "energy_ev_per_cell": -27.1, "space_group": "P4/mmm (123)", "lattice_angstrom": [[3.2035, 0.0000, 0.0000], [0.0000, 3.2035, 0.0000], [0.0000, 0.0000, 6.7052]], "species": ["B", "P", "S", "N", "N"], "fractional_positions": [[0.0000, 0.0000, 0.0000], [0.5000, 0.5000, 0.5000], [0.5000, 0.5000, 0.0000], [0.0000, 0.5000, 0.5000], [0.5000, 0.0000, 0.5000]]}

No. 7
{"formula": "BP2SN", "functional": "PBE", "state": "optimized geometry", "formation_energy_uncorrected_mev_per_atom": 1737, "dos_ef_per_ev_cell": 2.8, "e_above_lowest_polymorph_ev_per_atom": 0.000, "density_g_cm3": 3.0, "energy_ev_per_cell": -21.3, "space_group": "P4/mmm (123)", "lattice_angstrom": [[3.9604, 0.0000, 0.0000], [0.0000, 3.9604, 0.0000], [0.0000, 0.0000, 4.2034]], "species": ["B", "P", "P", "S", "N"], "fractional_positions": [[0.0000, 0.0000, 0.0000], [0.0000, 0.5000, 0.5000], [0.5000, 0.0000, 0.5000], [0.5000, 0.5000, 0.0000], [0.5000, 0.5000, 0.5000]]}

No. 8
{"formula": "BPSN2", "functional": "PBE", "state": "optimized geometry", "formation_energy_uncorrected_mev_per_atom": 1092, "dos_ef_per_ev_cell": 2.9, "e_above_lowest_polymorph_ev_per_atom": 0.000, "density_g_cm3": 2.2, "energy_ev_per_cell": -27.4, "space_group": "P4/mmm (123)", "lattice_angstrom": [[3.1226, 0.0000, 0.0000], [0.0000, 3.1226, 0.0000], [0.0000, 0.0000, 7.9106]], "species": ["B", "P", "S", "N", "N"], "fractional_positions": [[0.0000, 0.0000, 0.0000], [0.5000, 0.5000, 0.5000], [0.0000, 0.0000, 0.5000], [0.0000, 0.5000, 0.0000], [0.5000, 0.0000, 0.0000]]}